VASP calculation (GGA-PBE) on an optimized crystal structure of AlFe2Si2.

The formation energy (no corrections) is -261 meV/atom. As for the total energy: -6.564 eV per atom.

The structure belongs to space group P4/mbm (No. 127); the cell edges are 6.590, 6.590 and 2.767 Å and the angles 90.00°, 90.00° and 90.00°. The asymmetric unit holds Al at (0.000, 0.000, 0.000), Fe at (0.148, 0.352, 0.000) and Si at (0.147, 0.647, 0.500).

VASP calculation (GGA-PBE) on an optimized crystal structure of SmGdCdGa.

As for the total energy: -6.137 eV per atom. The value obtained for the energy of formation from the pure elements is -0.451 eV per atom.

The structure belongs to space group F-43m (No. 216); the cell edges are 7.427, 7.427 and 7.427 Å and the angles 90.00°, 90.00° and 90.00°. The asymmetric unit holds Sm at (0.000, 0.000, 0.000), Gd at (0.000, 0.000, 0.500), Cd at (0.250, 0.250, 0.250) and Ga at (0.250, 0.250, 0.750).

VASP calculation (GGA-PBE) on an optimized crystal structure of BaHg2Os.

As for the total energy: -3.026 eV per atom. The value obtained for the energy of formation from the pure elements is 0.413 eV per atom.

The structure belongs to space group Imm2 (No. 44); the cell edges are 3.341, 4.509 and 14.436 Å and the angles 90.00°, 90.00° and 90.00°. The asymmetric unit holds Ba at (0.000, 0.000, 0.000), Hg at (0.000, 0.000, 0.651), Hg at (0.000, 0.500, 0.811) and Os at (0.000, 0.500, 0.312).

VASP calculation (GGA-PBE) on an optimized crystal structure of GdBi2Sb.

The formation energy (no corrections) is -428 meV/atom. As for the total energy: -6.919 eV per atom.

The structure belongs to space group P4/mmm (No. 123); the cell edges are 4.746, 4.746 and 5.256 Å and the angles 90.00°, 90.00° and 90.00°. The asymmetric unit holds Gd at (0.000, 0.000, 0.000), Bi at (0.000, 0.500, 0.500) and Sb at (0.500, 0.500, 0.000).